# 1
Below is a relaxed Ba3Be crystal, with properties calculated at the PBE-GGA level.

a b c (Å): 4.118 6.119 14.622
angles (deg): 90.00 90.00 90.00
Space group Immm (No. 71)
Asymmetric unit:
1 Ba 0.000 0.000 0.000 x2
2 Ba 0.000 0.500 0.176 x4
3 Be 0.000 0.000 0.500 x2

## Properties
- Offset from the most stable computed form: 10.78 kJ/mol of atoms
- M_tot: 0.0 μB/f.u.
- Energy relative to the elements: 34.5 kJ/mol of atoms
- Theoretical density: 3.8 g/cm3
- N(E_F): 12.0 states/eV/cell

# 2
Below is a relaxed BaBe5 crystal, with properties calculated at the PBE-GGA level.

a b c (Å): 7.299 3.655 7.047
angles (deg): 90.00 102.21 90.00
Space group Cm (No. 8)
Asymmetric unit:
1 Ba 0.000 0.000 0.000 x2
2 Be 0.114 0.500 0.624 x2
3 Be 0.213 0.500 0.363 x2
4 Be 0.281 0.000 0.580 x2
5 Be 0.413 0.000 0.347 x2
6 Be 0.480 0.500 0.523 x2

## Properties
- Offset from the most stable computed form: 0.00 kJ/mol of atoms
- M_tot: 0.0 μB/f.u.
- Energy relative to the elements: 23.5 kJ/mol of atoms
- Theoretical density: 3.3 g/cm3
- N(E_F): 5.1 states/eV/cell